1.
Entry from the Alexandria database: CuTeRh at its PBEsol-relaxed geometry (SCAN).

Unit cell a=4.0044 b=3.8857 c=3.8857 alpha=120.00 beta=90.00 gamma=90.00
With the nearest neighbours (Å) after each atom.
Element x y z (fractional)
Cu 0.9759 0.0000 0.0000  3 Rh 2.54, 3 Te 2.68
Te 0.3439 0.6667 0.3333  3 Rh 2.62, 3 Cu 2.68
Rh 0.6801 0.3333 0.6667  3 Cu 2.54, 3 Te 2.62

Properties
magnetization: 0.00 Bohr magnetons per cell
formation energy from raw total energies: 120 meV per atom
crystal system: trigonal

---

2.
Entry from the Alexandria database: CuTe2Rh at its PBEsol-relaxed geometry (SCAN).

Unit cell a=3.4216 b=4.6766 c=4.6766 alpha=98.53 beta=90.00 gamma=90.00
With the nearest neighbours (Å) after each atom.
Element x y z (fractional)
Te 0.0000 0.5000 0.0000  4 Cu 2.90, 4 Rh 2.90, 2 Te 3.05
Rh 0.5000 0.0000 0.0000  8 Te 2.90, 2 Cu 3.05
Cu 0.5000 0.5000 0.5000  8 Te 2.90, 2 Rh 3.05
Te 0.0000 0.0000 0.5000  4 Rh 2.90, 4 Cu 2.90, 2 Te 3.05

Properties
magnetization: 0.00 Bohr magnetons per cell
formation energy from raw total energies: 192 meV per atom
crystal system: orthorhombic

---

3.
Entry from the Alexandria database: CuTe2Rh at its PBEsol-relaxed geometry (SCAN).

Unit cell a=4.7751 b=4.7751 c=4.7751 alpha=60.00 beta=60.00 gamma=60.00
With the nearest neighbours (Å) after each atom.
Element x y z (fractional)
Cu 0.5000 0.5000 0.5000  4 Te 2.92, 4 Rh 2.92
Te 0.0000 0.0000 0.0000  4 Te 2.92, 4 Rh 2.92
Te 0.7500 0.7500 0.7500  4 Cu 2.92, 4 Te 2.92
Rh 0.2500 0.2500 0.2500  4 Te 2.92, 4 Cu 2.92

Properties
magnetization: 0.00 Bohr magnetons per cell
formation energy from raw total energies: 594 meV per atom
crystal system: cubic